[1]
GaNi2As2: relaxed, PBE.

Calculated values
- offset from the most stable computed form (meV per atom) = 116
- uncorrected energy (eV/atom) = -4.68
- DFT formation energy (meV/atom) = 98

a b c (Å): 6.1275 6.1275 6.1275
angles (deg): 143.28 143.28 52.91
With the nearest neighbours (Å) after each atom.
Atoms (fractional coordinates):
Ga  0.0000  0.0000  0.0000  8 Ni 3.00, 8 As 3.35
Ni  0.3862  0.3862  0.0000  4 As 2.44, 1 Ni 2.50
Ni  0.6138  0.6138  0.0000  4 As 2.44, 1 Ni 2.50
As  0.2500  0.7500  0.5000  4 Ni 2.44, 4 As 2.73
As  0.7500  0.2500  0.5000  4 Ni 2.44, 4 As 2.73

=====

[2]
CoOsRu4: relaxed, PBE.

Calculated values
- uncorrected energy (eV/atom) = -8.49
- DFT formation energy (meV/atom) = 751

a b c (Å): 4.9946 4.9946 4.9946
angles (deg): 60.00 60.00 60.00
With the nearest neighbours (Å) after each atom.
Atoms (fractional coordinates):
Co  0.0000  0.0000  0.0000  12 Ru 2.93, 4 Os 3.06
Os  0.7500  0.7500  0.7500  12 Ru 2.93, 4 Co 3.06
Ru  0.3748  0.3748  0.3748  6 Ru 2.49-2.50
Ru  0.3748  0.3748  0.8756  6 Ru 2.49-2.50
Ru  0.3748  0.8756  0.3748  6 Ru 2.49-2.50
Ru  0.8756  0.3748  0.3748  6 Ru 2.49-2.50